Entry 1:
# SrTeOsO6, optimized geometry, DFT PBE
# ΔE_f (raw) in eV/atom: -1.525
# Theoretical density in Mg/m³: 6.17
data_SrTeOsO6
_chemical_formula_sum 'Sr1 Te1 Os1 O6'
_space_group_name_H-M_alt 'P 3 1 2'
_space_group_IT_number 149
_space_group_name_Hall 'P 3 2'
_cell_length_a 5.3886
_cell_length_b 5.3886
_cell_length_c 5.3678
_cell_angle_alpha 90.00
_cell_angle_beta 90.00
_cell_angle_gamma 120.00
loop_
_atom_site_label
_atom_site_fract_x
_atom_site_fract_y
_atom_site_fract_z
Sr1 0.0000 0.0000 0.0000
Te1 0.6667 0.3333 0.5000
Os1 0.3333 0.6667 0.5000
O1 0.0100 0.3746 0.7020



Entry 2:
# SrTi2OsO, optimized geometry, DFT PBE
# ΔE_f (raw) in eV/atom: 0.427
# Theoretical density in Mg/m³: 4.83
data_SrTi2OsO
_chemical_formula_sum 'Sr1 Ti2 Os1 O1'
_space_group_name_H-M_alt 'P 4/m m m'
_space_group_IT_number 123
_space_group_name_Hall '-P 4 2'
_cell_length_a 4.564
_cell_length_b 4.564
_cell_length_c 6.428
_cell_angle_alpha 90.00
_cell_angle_beta 90.00
_cell_angle_gamma 90.00
loop_
_atom_site_label
_atom_site_fract_x
_atom_site_fract_y
_atom_site_fract_z
Sr1 0.000 0.000 0.000
Ti1 0.000 0.500 0.500
Os1 0.000 0.000 0.500
O1 0.500 0.500 0.000



Entry 3:
# Sr2TiOsO8, optimized geometry, DFT PBE
# ΔE_f (raw) in eV/atom: -1.958
# Theoretical density in Mg/m³: 4.99
data_Sr2TiOsO8
_chemical_formula_sum 'Sr2 Ti1 Os1 O8'
_space_group_name_H-M_alt 'P 1 2/m 1'
_space_group_IT_number 10
_space_group_name_Hall '-P 2y'
_cell_length_a 5.276
_cell_length_b 6.446
_cell_length_c 5.299
_cell_angle_alpha 90.00
_cell_angle_beta 92.44
_cell_angle_gamma 90.00
loop_
_atom_site_label
_atom_site_fract_x
_atom_site_fract_y
_atom_site_fract_z
Sr1 0.000 0.246 0.000
Ti1 0.500 0.000 0.500
Os1 0.500 0.500 0.500
O1 0.250 0.500 0.246
O2 0.252 0.000 0.249
O3 0.333 0.280 0.663



Entry 4:
# SrTiOsO6, optimized geometry, DFT PBE
# ΔE_f (raw) in eV/atom: -2.146
# Theoretical density in Mg/m³: 5.49
data_SrTiOsO6
_chemical_formula_sum 'Sr2 Ti2 Os2 O12'
_space_group_name_H-M_alt 'P -3 1 c'
_space_group_IT_number 163
_space_group_name_Hall '-P 3 2c'
_cell_length_a 5.2195
_cell_length_b 5.2195
_cell_length_c 10.8035
_cell_angle_alpha 90.00
_cell_angle_beta 90.00
_cell_angle_gamma 120.00
loop_
_atom_site_label
_atom_site_fract_x
_atom_site_fract_y
_atom_site_fract_z
Sr1 0.0000 0.0000 0.0000
Ti1 0.3333 0.6667 0.2500
Os1 0.3333 0.6667 0.7500
O1 0.0054 0.3814 0.6500



Entry 5:
# SrTlOsO6, optimized geometry, DFT PBE
# ΔE_f (raw) in eV/atom: -1.287
# Theoretical density in Mg/m³: 6.02
data_SrTlOsO6
_chemical_formula_sum 'Sr1 Tl1 Os1 O6'
_space_group_name_H-M_alt 'P 1'
_space_group_IT_number 1
_space_group_name_Hall 'P 1'
_cell_length_a 5.339
_cell_length_b 5.368
_cell_length_c 6.266
_cell_angle_alpha 66.40
_cell_angle_beta 85.72
_cell_angle_gamma 75.81
loop_
_atom_site_label
_atom_site_fract_x
_atom_site_fract_y
_atom_site_fract_z
Sr1 0.000 0.000 0.000
Tl1 0.489 0.222 0.529
Os1 0.991 0.680 0.619
O1 0.189 0.908 0.640
O2 0.192 0.617 0.365
O3 0.233 0.369 0.825
O4 0.760 0.799 0.822
O5 0.780 0.987 0.364
O6 0.795 0.436 0.638



Entry 6:
# SrTl2Os3O12, optimized geometry, DFT PBE
# ΔE_f (raw) in eV/atom: -1.166
# Theoretical density in Mg/m³: 7.89
data_SrTl2Os3O12
_chemical_formula_sum 'Sr3 Tl6 Os9 O36'
_space_group_name_H-M_alt 'R -3 m'
_space_group_IT_number 166
_space_group_name_Hall '-R 3 2"'
_cell_length_a 7.4287
_cell_length_b 7.4287
_cell_length_c 16.6239
_cell_angle_alpha 90.00
_cell_angle_beta 90.00
_cell_angle_gamma 120.00
loop_
_atom_site_label
_atom_site_fract_x
_atom_site_fract_y
_atom_site_fract_z
Sr1 0.0000 0.0000 0.0000
Tl1 0.0000 0.0000 0.3979
Os1 0.0000 0.5000 0.5000
O1 0.0561 0.5281 0.3940
O2 0.0785 0.5392 0.8128



What did we get for total magnetic moment? Answer: 2.0, 0.0, 0.0, 4.0, 0.0, 0.0 μB/cell, in the order shown.